(1)
Here is LaYTl2 at its PBEsol-relaxed geometry from the Alexandria database. Energies are from meta-GGA SCAN.

a = 3.803 Å, b = 3.803 Å, c = 7.709 Å
α = 90.00°, β = 90.00°, γ = 90.00°
Space group P4/mmm (No. 123)
One atom of each set of equivalent atoms:
La 0.000 0.000 0.000 x1
Y 0.000 0.000 0.500 x1
Tl 0.500 0.500 0.269 x2

Results
The electronic total energy comes out at -218.2 eV per formula unit. The value obtained for the density of states at the Fermi level is 0.781 states/eV/atom.



(2)
Here is PrSmFe4 at its PBEsol-relaxed geometry from the Alexandria database. Energies are from meta-GGA SCAN.

a = 7.247 Å, b = 7.247 Å, c = 7.247 Å
α = 90.00°, β = 90.00°, γ = 90.00°
Space group F-43m (No. 216)
One atom of each set of equivalent atoms:
Pr 0.000 0.000 0.000 x4
Sm 0.250 0.250 0.250 x4
Fe 0.125 0.125 0.625 x16

Results
The electronic total energy comes out at -159.6 eV per formula unit. The value obtained for the density of states at the Fermi level is 0.919 states/eV/atom.



(3)
Here is Li2AgIr at its PBEsol-relaxed geometry from the Alexandria database. Energies are from meta-GGA SCAN.

a = 2.819 Å, b = 4.530 Å, c = 8.894 Å
α = 90.00°, β = 90.00°, γ = 90.00°
Space group Cmmm (No. 65)
One atom of each set of equivalent atoms:
Li 0.000 0.000 0.234 x4
Ag 0.000 0.500 0.500 x2
Ir 0.000 0.500 0.000 x2

Results
The electronic total energy comes out at -108.0 eV per formula unit. The value obtained for the density of states at the Fermi level is 0.373 states/eV/atom.



(4)
Here is TbSnRh at its PBEsol-relaxed geometry from the Alexandria database. Energies are from meta-GGA SCAN.

a = 7.5003 Å, b = 7.5003 Å, c = 3.7627 Å
α = 90.00°, β = 90.00°, γ = 120.00°
Space group P-62m (No. 189)
One atom of each set of equivalent atoms:
Tb 0.0000 0.5933 0.0000 x3
Sn 0.0000 0.2621 0.5000 x3
Rh 0.0000 0.0000 0.0000 x1
Rh 0.3333 0.6667 0.5000 x2

Results
The electronic total energy comes out at -119.5 eV per formula unit. The value obtained for the density of states at the Fermi level is 0.668 states/eV/atom.



So what do the calculations give for V? Going down the list: 111; 381; 114; 183 Å³ per cell.